The following is a PBE-GGA calculation of KMnCl3 after structural relaxation, from Alexandria.

Results
SG   Cmcm
Uncorrected formation energy   -918.9 meV per atom

The structure in POSCAR format:
```
KMnCl3
1.0
-2.836 8.010 -1.982
-2.668 -0.854 8.264
4.657 2.074 1.718
Cl Mn K
6 2 2
Cartesian
1.686 4.886 2.166
-2.533 4.344 5.834
0.000 0.000 0.000
-0.243 7.393 4.367
-0.604 1.837 3.632
2.329 1.037 0.859
-1.582 3.811 3.901
0.735 5.420 4.099
0.690 7.831 1.311
-1.536 1.399 6.688
```